i) Sm2Dy12Er5 PBE optimized geometry; volume = 31.35 Å³ per atom; space-group type = P-1 (2); crystal system = triclinic; N(E_F) = 26.9 states/eV per cell
1.0
6.131 0.000 0.000
-3.055 8.852 0.000
-2.037 -0.713 10.974
Sm Dy Er
2 12 5
direct
0.210 0.474 0.420 Sm
0.790 0.526 0.580 Sm
0.053 0.368 0.104 Dy
0.106 0.738 0.210 Dy
0.158 0.104 0.315 Dy
0.314 0.209 0.632 Dy
0.369 0.579 0.739 Dy
0.420 0.947 0.843 Dy
0.580 0.053 0.157 Dy
0.631 0.421 0.261 Dy
0.686 0.791 0.368 Dy
0.842 0.896 0.685 Dy
0.894 0.262 0.790 Dy
0.947 0.632 0.896 Dy
0.000 0.000 0.000 Er
0.265 0.844 0.527 Er
0.473 0.315 0.947 Er
0.527 0.685 0.053 Er
0.735 0.156 0.473 Er


ii) Sm2Dy12Er5 PBE optimized geometry; volume = 32.23 Å³ per atom; space-group type = C2/m (12); crystal system = monoclinic; N(E_F) = 27.6 states/eV per cell
1.0
7.854 -4.591 0.000
7.854 4.591 0.000
-0.147 0.000 8.491
Sm Dy Er
2 12 5
direct
0.181 0.819 0.000 Sm
0.819 0.181 0.000 Sm
0.059 0.059 0.332 Dy
0.066 0.681 0.344 Dy
0.163 0.525 0.757 Dy
0.319 0.934 0.656 Dy
0.407 0.407 0.117 Dy
0.475 0.837 0.243 Dy
0.525 0.163 0.757 Dy
0.593 0.593 0.883 Dy
0.681 0.066 0.344 Dy
0.837 0.475 0.243 Dy
0.934 0.319 0.656 Dy
0.941 0.941 0.668 Dy
0.197 0.197 0.011 Er
0.268 0.268 0.425 Er
0.500 0.500 0.500 Er
0.732 0.732 0.575 Er
0.803 0.803 0.989 Er


Tell me which of them is the most stable. Sure, it is i).


i) SmDy2Er4 PBE optimized geometry; volume = 31.37 Å³ per atom; space-group type = P2_1/m (11); crystal system = monoclinic; N(E_F) = 23.3 states/eV per cell
1.0
6.006 0.000 0.000
0.000 6.558 0.000
-2.784 0.000 11.151
Sm Dy Er
2 4 8
direct
0.037 0.250 0.363 Sm
0.963 0.750 0.637 Sm
0.160 0.250 0.948 Dy
0.400 0.750 0.509 Dy
0.600 0.250 0.491 Dy
0.840 0.750 0.052 Dy
0.145 0.250 0.664 Er
0.278 0.750 0.922 Er
0.344 0.507 0.210 Er
0.344 0.993 0.210 Er
0.656 0.007 0.790 Er
0.656 0.493 0.790 Er
0.722 0.250 0.078 Er
0.855 0.750 0.336 Er


ii) SmDy2Er4 PBE optimized geometry; volume = 31.36 Å³ per atom; space-group type = C2/m (12); crystal system = monoclinic; N(E_F) = 10.5 states/eV per cell
1.0
8.280 -1.755 0.000
8.280 1.755 0.000
-4.290 0.000 7.555
Sm Dy Er
1 2 4
direct
0.000 0.000 0.000 Sm
0.070 0.070 0.430 Dy
0.930 0.930 0.570 Dy
0.295 0.295 0.706 Er
0.357 0.357 0.164 Er
0.643 0.643 0.836 Er
0.705 0.705 0.294 Er


Tell me which of them is the most stable. Sure, it is ii).


i) Sm6DyEr2 PBE optimized geometry; volume = 32.75 Å³ per atom; space-group type = P-1 (2); crystal system = triclinic; N(E_F) = 12.8 states/eV per cell
1.0
3.594 0.000 0.000
-0.010 8.797 0.000
-1.792 -0.021 9.324
Sm Dy Er
6 1 2
direct
0.110 0.165 0.219 Sm
0.221 0.834 0.442 Sm
0.333 0.501 0.669 Sm
0.667 0.499 0.331 Sm
0.779 0.166 0.558 Sm
0.890 0.835 0.781 Sm
0.000 0.500 0.000 Dy
0.445 0.168 0.890 Er
0.555 0.832 0.110 Er


ii) Sm6DyEr2 PBE optimized geometry; volume = 33.63 Å³ per atom; space-group type = C2/m (12); crystal system = monoclinic; N(E_F) = 13.6 states/eV per cell
1.0
6.582 -3.800 0.000
6.582 3.800 0.000
-0.003 0.000 6.050
Sm Dy Er
6 1 2
direct
0.121 0.688 0.713 Sm
0.312 0.312 0.285 Sm
0.312 0.879 0.287 Sm
0.688 0.121 0.713 Sm
0.688 0.688 0.715 Sm
0.879 0.312 0.287 Sm
0.500 0.500 0.000 Dy
0.167 0.167 0.781 Er
0.833 0.833 0.219 Er


Tell me which of them is the most stable. Sure, it is i).


i) Sm4DyEr7 PBE optimized geometry; volume = 31.97 Å³ per atom; space-group type = P-1 (2); crystal system = triclinic; N(E_F) = 19.3 states/eV per cell
1.0
6.513 0.000 0.000
0.996 6.714 0.000
2.030 0.494 8.774
Sm Dy Er
4 1 7
direct
0.139 0.309 0.285 Sm
0.336 0.883 0.693 Sm
0.664 0.117 0.307 Sm
0.861 0.691 0.715 Sm
0.500 0.500 0.000 Dy
0.013 0.252 0.950 Er
0.182 0.800 0.358 Er
0.312 0.394 0.615 Er
0.500 0.000 0.000 Er
0.688 0.606 0.385 Er
0.818 0.200 0.642 Er
0.987 0.748 0.050 Er


ii) Sm4DyEr7 PBE optimized geometry; volume = 32.95 Å³ per atom; space-group type = C2/m (12); crystal system = monoclinic; N(E_F) = 20.5 states/eV per cell
1.0
6.028 -2.929 0.000
6.028 2.929 0.000
-6.023 0.000 11.200
Sm Dy Er
4 1 7
direct
0.140 0.140 0.277 Sm
0.273 0.273 0.831 Sm
0.727 0.727 0.169 Sm
0.860 0.860 0.723 Sm
0.500 0.500 0.500 Dy
0.000 0.000 0.500 Er
0.132 0.132 0.996 Er
0.288 0.288 0.576 Er
0.433 0.433 0.186 Er
0.567 0.567 0.814 Er
0.712 0.712 0.424 Er
0.868 0.868 0.004 Er


Tell me which of them is the most stable. Sure, it is i).


i) Sm3Dy8Er2 PBE optimized geometry; volume = 31.77 Å³ per atom; space-group type = C2/m (12); crystal system = monoclinic; N(E_F) = 18.7 states/eV per cell
1.0
10.358 -2.514 0.000
10.358 2.514 0.000
-0.608 0.000 7.930
Sm Dy Er
3 8 2
direct
0.000 0.000 0.000 Sm
0.461 0.461 0.693 Sm
0.539 0.539 0.307 Sm
0.078 0.078 0.615 Dy
0.155 0.155 0.230 Dy
0.307 0.307 0.462 Dy
0.383 0.383 0.078 Dy
0.617 0.617 0.922 Dy
0.693 0.693 0.538 Dy
0.845 0.845 0.770 Dy
0.922 0.922 0.385 Dy
0.231 0.231 0.846 Er
0.769 0.769 0.154 Er


ii) Sm3Dy8Er2 PBE optimized geometry; volume = 33.26 Å³ per atom; space-group type = C2/m (12); crystal system = monoclinic; N(E_F) = 21.5 states/eV per cell
1.0
9.997 -3.840 0.000
9.997 3.840 0.000
-0.004 0.000 5.632
Sm Dy Er
3 8 2
direct
0.000 0.000 0.000 Sm
0.290 0.710 0.500 Sm
0.710 0.290 0.500 Sm
0.135 0.135 0.500 Dy
0.182 0.600 0.000 Dy
0.329 0.329 0.499 Dy
0.400 0.818 0.000 Dy
0.600 0.182 0.000 Dy
0.671 0.671 0.501 Dy
0.818 0.400 0.000 Dy
0.865 0.865 0.500 Dy
0.241 0.241 0.999 Er
0.759 0.759 0.001 Er


Tell me which of them is the most stable. Sure, it is i).


i) SmDy4Er6 PBE optimized geometry; volume = 34.13 Å³ per atom; space-group type = I-42m (121); crystal system = tetragonal; N(E_F) = 16.0 states/eV per cell
1.0
-3.814 3.814 6.453
3.814 -3.814 6.453
3.814 3.814 -6.453
Sm Dy Er
1 4 6
direct
0.000 0.000 0.000 Sm
0.257 0.257 0.665 Dy
0.408 0.743 0.000 Dy
0.592 0.592 0.335 Dy
0.743 0.408 0.000 Dy
0.000 0.500 0.500 Er
0.063 0.567 0.000 Er
0.433 0.433 0.495 Er
0.500 0.000 0.500 Er
0.567 0.063 0.000 Er
0.937 0.937 0.505 Er


ii) SmDy4Er6 PBE optimized geometry; volume = 31.40 Å³ per atom; space-group type = Cmcm (63); crystal system = orthorhombic; N(E_F) = 37.7 states/eV per cell
1.0
2.815 -4.805 0.000
2.815 4.805 0.000
0.000 0.000 25.539
Sm Dy Er
2 8 12
direct
0.176 0.824 0.750 Sm
0.824 0.176 0.250 Sm
0.162 0.838 0.042 Dy
0.162 0.838 0.458 Dy
0.486 0.514 0.121 Dy
0.486 0.514 0.379 Dy
0.514 0.486 0.621 Dy
0.514 0.486 0.879 Dy
0.838 0.162 0.542 Dy
0.838 0.162 0.958 Dy
0.155 0.845 0.181 Er
0.155 0.845 0.319 Er
0.178 0.822 0.603 Er
0.178 0.822 0.897 Er
0.490 0.510 0.250 Er
0.500 0.500 0.000 Er
0.500 0.500 0.500 Er
0.510 0.490 0.750 Er
0.822 0.178 0.103 Er
0.822 0.178 0.397 Er
0.845 0.155 0.681 Er
0.845 0.155 0.819 Er


Tell me which of them is the most stable. Sure, it is ii).